1.
VASP calculation (PBEsol) on crystalline NbCdInB2 at its relaxed geometry.

Properties
The mass density comes out at 5.7 g/cm³. Its space group is P4/mmm (123). As for the spin magnetization: 0.000 μB per formula unit. As for the final energy: -4.533 eV per atom. As for the calculated formation energy: 1.2737 eV per atom.

abc: 4.3010 4.3010 5.4281
angles: 90.00 90.00 90.00
Last column: nearest neighbours and their distance in Å.
Element x y z (fractional)
Nb  0.0000  0.0000  0.0000  4 B 2.15
Cd  0.0000  0.0000  0.5000  2 Nb 2.71
In  0.5000  0.5000  0.5000  4 Cd 3.04
B  0.0000  0.5000  0.0000  2 Nb 2.15
B  0.5000  0.0000  0.0000  2 Nb 2.15

***

2.
VASP calculation (PBEsol) on crystalline SrInPO2 at its relaxed geometry.

Properties
The mass density comes out at 3.8 g/cm³. Its space group is P4/mmm (123). As for the spin magnetization: 2.229 μB per formula unit. As for the final energy: -4.247 eV per atom. The formation energy from raw total energies comes out at -0.02 eV/atom.

abc: 4.4028 4.4028 5.9637
angles: 90.00 90.00 90.00
Last column: nearest neighbours and their distance in Å.
Element x y z (fractional)
Sr  0.0000  0.0000  0.0000  4 O 2.20
In  0.5000  0.5000  0.5000  4 P 3.11
P  0.0000  0.0000  0.5000  2 Sr 2.98, 4 In 3.11
O  0.0000  0.5000  0.0000  2 Sr 2.20
O  0.5000  0.0000  0.0000  2 Sr 2.20

***

3.
VASP calculation (PBEsol) on crystalline MgTeSe at its relaxed geometry.

Properties
The mass density comes out at 5.6 g/cm³. Its space group is I4mm (107). As for the spin magnetization: 0.000 μB per formula unit. As for the final energy: -3.433 eV per atom. The formation energy from raw total energies comes out at -0.40 eV/atom.

abc: 6.1457 6.1457 6.1457
angles: 146.90 146.90 47.51
Last column: nearest neighbours and their distance in Å.
Element x y z (fractional)
Mg  0.0000  0.0000  0.0000  4 Se 2.67
Te  0.3042  0.3042  0.0000  5 Se 3.21-3.46, 5 Mg 3.31-3.42, 4 Te 3.50
Se  0.5892  0.5892  0.0000  4 Mg 2.67

***

4.
VASP calculation (PBEsol) on crystalline IrOs3 at its relaxed geometry.

Properties
The mass density comes out at 22.7 g/cm³. Its space group is Imm2 (44). As for the spin magnetization: 0.000 μB per formula unit. As for the final energy: -11.610 eV per atom. As for the calculated formation energy: 0.0082 eV per atom.

abc: 5.1138 5.1138 5.1138
angles: 149.07 64.53 124.91
Last column: nearest neighbours and their distance in Å.
Element x y z (fractional)
Ir  0.0000  0.0000  0.0000  10 Os 2.67-2.74, 2 Ir 2.73
Os  0.4175  0.6659  0.7516  9 Os 2.67-2.73, 3 Ir 2.67-2.68
Os  0.4984  0.9984  0.5000  8 Os 2.67-2.73, 4 Ir 2.72-2.74
Os  0.9143  0.6659  0.2484  9 Os 2.67-2.73, 3 Ir 2.67-2.68

***

5.
VASP calculation (PBEsol) on crystalline SnPt2CBr at its relaxed geometry.

Properties
The mass density comes out at 10.7 g/cm³. Its space group is P4/mmm (123). As for the spin magnetization: 0.022 μB per formula unit. As for the final energy: -4.220 eV per atom. The formation energy from raw total energies comes out at 1.72 eV/atom.

abc: 4.8813 4.8813 3.8965
angles: 90.00 90.00 90.00
Last column: nearest neighbours and their distance in Å.
Element x y z (fractional)
Sn  0.0000  0.0000  0.0000  8 Pt 3.12, 4 C 3.45
Pt  0.0000  0.5000  0.5000  2 Br 2.44
Pt  0.5000  0.0000  0.5000  2 Br 2.44
C  0.5000  0.5000  0.0000  2 Br 1.95
Br  0.5000  0.5000  0.5000  2 C 1.95

***

6.
VASP calculation (PBEsol) on crystalline Sc5Bi3 at its relaxed geometry.

Properties
The mass density comes out at 7.4 g/cm³. Its space group is Pnma (62). As for the spin magnetization: 0.000 μB per formula unit. As for the final energy: -6.403 eV per atom. As for the calculated formation energy: -0.6673 eV per atom.

abc: 11.1708 8.8653 7.7172
angles: 90.00 90.00 90.00
Last column: nearest neighbours and their distance in Å.
Element x y z (fractional)
Sc  0.0056  0.2500  0.0201  5 Bi 2.96-3.02, 3 Sc 3.07-3.30
Sc  0.0631  0.0642  0.6943  4 Bi 2.91-3.18, 2 Sc 3.07-3.19
Sc  0.0631  0.4358  0.6943  4 Bi 2.91-3.18, 2 Sc 3.07-3.19
Sc  0.2140  0.7500  0.3384  5 Bi 2.90-3.13, 2 Sc 3.19
Sc  0.2303  0.2500  0.3244  6 Bi 2.94-3.22
Sc  0.2697  0.7500  0.8244  6 Bi 2.94-3.22
Sc  0.2860  0.2500  0.8384  5 Bi 2.90-3.13, 2 Sc 3.19
Sc  0.4369  0.5642  0.1943  4 Bi 2.91-3.18, 2 Sc 3.07-3.19
Sc  0.4369  0.9358  0.1943  4 Bi 2.91-3.18, 2 Sc 3.07-3.19
Sc  0.4944  0.7500  0.5201  5 Bi 2.96-3.02, 3 Sc 3.07-3.30
Sc  0.5056  0.2500  0.4799  5 Bi 2.96-3.02, 3 Sc 3.07-3.30
Sc  0.5631  0.0642  0.8057  4 Bi 2.91-3.18, 2 Sc 3.07-3.19
Sc  0.5631  0.4358  0.8057  4 Bi 2.91-3.18, 2 Sc 3.07-3.19
Sc  0.7140  0.7500  0.1616  5 Bi 2.90-3.13, 2 Sc 3.19
Sc  0.7303  0.2500  0.1756  6 Bi 2.94-3.22
Sc  0.7697  0.7500  0.6756  6 Bi 2.94-3.22
Sc  0.7860  0.2500  0.6616  5 Bi 2.90-3.13, 2 Sc 3.19
Sc  0.9369  0.5642  0.3057  4 Bi 2.91-3.18, 2 Sc 3.07-3.19
Sc  0.9369  0.9358  0.3057  4 Bi 2.91-3.18, 2 Sc 3.07-3.19
Sc  0.9944  0.7500  0.9799  5 Bi 2.96-3.02, 3 Sc 3.07-3.30
Bi  0.0272  0.7500  0.5986  8 Sc 2.90-3.22
Bi  0.1758  0.5089  0.0638  9 Sc 3.00-3.29
Bi  0.1758  0.9911  0.0638  9 Sc 3.00-3.29
Bi  0.3242  0.0089  0.5638  9 Sc 3.00-3.29
Bi  0.3242  0.4911  0.5638  9 Sc 3.00-3.29
Bi  0.4728  0.2500  0.0986  8 Sc 2.90-3.22
Bi  0.5272  0.7500  0.9014  8 Sc 2.90-3.22
Bi  0.6758  0.5089  0.4362  9 Sc 3.00-3.29
Bi  0.6758  0.9911  0.4362  9 Sc 3.00-3.29
Bi  0.8242  0.0089  0.9362  9 Sc 3.00-3.29
Bi  0.8242  0.4911  0.9362  9 Sc 3.00-3.29
Bi  0.9728  0.2500  0.4014  8 Sc 2.90-3.22

***

7.
VASP calculation (PBEsol) on crystalline Cs3Nb2I9 at its relaxed geometry.

Properties
The mass density comes out at 5.1 g/cm³. Its space group is P6_3/mmc (194). As for the spin magnetization: 1.783 μB per formula unit. As for the final energy: -3.830 eV per atom. The formation energy from raw total energies comes out at -0.95 eV/atom.

abc: 8.1892 8.1892 19.3250
angles: 90.00 90.00 120.00
Last column: nearest neighbours and their distance in Å.
Element x y z (fractional)
Cs  0.0000  0.0000  0.2500  12 I 3.89-4.10
Cs  0.0000  0.0000  0.7500  12 I 3.89-4.10
Cs  0.3333  0.6667  0.0687  12 I 3.87-4.17
Cs  0.3333  0.6667  0.4313  12 I 3.87-4.17
Cs  0.6667  0.3333  0.5687  12 I 3.87-4.17
Cs  0.6667  0.3333  0.9313  12 I 3.87-4.17
Nb  0.3333  0.6667  0.6784  1 Nb 2.77, 6 I 2.83
Nb  0.3333  0.6667  0.8216  1 Nb 2.77, 6 I 2.83
Nb  0.6667  0.3333  0.1784  1 Nb 2.77, 6 I 2.83
Nb  0.6667  0.3333  0.3216  1 Nb 2.77, 6 I 2.83
I  0.0155  0.5078  0.2500  2 Nb 2.83
I  0.1717  0.3433  0.5927  1 Nb 2.83
I  0.1717  0.3433  0.9073  1 Nb 2.83
I  0.1717  0.8283  0.5927  1 Nb 2.83
I  0.1717  0.8283  0.9073  1 Nb 2.83
I  0.3433  0.1717  0.0927  1 Nb 2.83
I  0.3433  0.1717  0.4073  1 Nb 2.83
I  0.4922  0.5078  0.2500  2 Nb 2.83
I  0.4922  0.9845  0.2500  2 Nb 2.83
I  0.5078  0.0155  0.7500  2 Nb 2.83
I  0.5078  0.4922  0.7500  2 Nb 2.83
I  0.6567  0.8283  0.5927  1 Nb 2.83
I  0.6567  0.8283  0.9073  1 Nb 2.83
I  0.8283  0.1717  0.0927  1 Nb 2.83
I  0.8283  0.1717  0.4073  1 Nb 2.83
I  0.8283  0.6567  0.0927  1 Nb 2.83
I  0.8283  0.6567  0.4073  1 Nb 2.83
I  0.9845  0.4922  0.7500  2 Nb 2.83

***

8.
VASP calculation (PBEsol) on crystalline LaSc2Cr at its relaxed geometry.

Properties
The mass density comes out at 5.5 g/cm³. Its space group is Imm2 (44). As for the spin magnetization: 0.186 μB per formula unit. As for the final energy: -6.834 eV per atom. As for the calculated formation energy: 0.3654 eV per atom.

abc: 5.8350 5.8350 5.8350
angles: 146.73 128.14 63.02
Last column: nearest neighbours and their distance in Å.
Element x y z (fractional)
La  0.0000  0.0000  0.0000  2 Cr 2.50
Sc  0.4003  0.4003  0.0000  2 Cr 2.70
Sc  0.6978  0.1978  0.5000  4 Cr 3.05, 2 La 3.22, 6 Sc 3.25-3.40
Cr  0.1869  0.6869  0.5000  2 La 2.50, 2 Sc 2.70

***

9.
VASP calculation (PBEsol) on crystalline HgIr2Os at its relaxed geometry.

Properties
The mass density comes out at 21.0 g/cm³. Its space group is Cm (8). As for the spin magnetization: 0.000 μB per formula unit. As for the final energy: -7.650 eV per atom. As for the calculated formation energy: 0.4569 eV per atom.

abc: 4.7829 4.7829 4.8920
angles: 99.29 99.29 33.79
Last column: nearest neighbours and their distance in Å.
Element x y z (fractional)
Hg  0.0000  0.0000  0.0000  7 Ir 2.71-2.85, 2 Hg 2.78, 3 Os 2.81-2.92
Ir  0.2411  0.2411  0.7467  2 Os 2.65, 3 Hg 2.71-2.85, 5 Ir 2.73-2.85
Ir  0.4987  0.4987  0.4923  3 Os 2.63-2.74, 5 Ir 2.73-2.85, 4 Hg 2.78-2.84
Os  0.7608  0.7608  0.2936  5 Ir 2.63-2.74, 2 Os 2.78, 3 Hg 2.81-2.92

***

10.
VASP calculation (PBEsol) on crystalline Ba2PtRh at its relaxed geometry.

Properties
The mass density comes out at 7.9 g/cm³. Its space group is Amm2 (38). As for the spin magnetization: 0.000 μB per formula unit. As for the final energy: -5.181 eV per atom. As for the calculated formation energy: -0.3311 eV per atom.

abc: 4.7031 5.8685 5.8685
angles: 47.96 90.00 90.00
Last column: nearest neighbours and their distance in Å.
Element x y z (fractional)
Ba  0.0000  0.0000  0.0000  3 Pt 3.15-3.30
Ba  0.5000  0.2919  0.2919  3 Rh 3.08-3.42
Pt  0.0000  0.6920  0.6920  2 Rh 2.51
Rh  0.5000  0.6107  0.6107  2 Pt 2.51